1.
DFT (PBE+U) results for a relaxed structure of DyMnO2.

Total energy: -0.5831 Ry per atom
Calculated volume: 16.31 Å³/atom
Total magnetization: 4.00 Bohr magnetons per cell

Lattice parameters (Å, degrees): 6.2597 6.2597 6.2597 33.14 33.14 33.14
Closest atoms and distances in Å follow each position.
Sites, in units of the cell vectors:
Dy 0.0000 0.0000 0.0000  6 O 2.30
Mn 0.5000 0.5000 0.5000  2 O 1.93
O 0.3913 0.3913 0.3913  1 Mn 1.93
O 0.6087 0.6087 0.6087  1 Mn 1.93

=====

2.
DFT (PBE+U) results for a relaxed structure of DyMn2O6.

Total energy: -0.5213 Ry per atom
Calculated volume: 12.19 Å³/atom
Total magnetization: 5.00 Bohr magnetons per cell

Lattice parameters (Å, degrees): 5.4204 5.4204 4.3127 90.00 90.00 120.00
Closest atoms and distances in Å follow each position.
Sites, in units of the cell vectors:
Dy 0.0000 0.0000 0.0000  6 O 2.24
Mn 0.3333 0.6667 0.0000  6 O 1.97
Mn 0.6667 0.3333 0.0000  6 O 1.97
O 0.0000 0.3724 0.2252  2 Mn 1.97
O 0.0000 0.6276 0.7748  2 Mn 1.97
O 0.3724 0.0000 0.2252  2 Mn 1.97
O 0.3724 0.3724 0.7748  2 Mn 1.97
O 0.6276 0.0000 0.7748  2 Mn 1.97
O 0.6276 0.6276 0.2252  2 Mn 1.97

=====

3.
DFT (PBE+U) results for a relaxed structure of Dy3MnO6.

Total energy: -0.5876 Ry per atom
Calculated volume: 12.71 Å³/atom
Total magnetization: 4.00 Bohr magnetons per cell

Lattice parameters (Å, degrees): 5.4645 5.7508 9.5911 90.00 122.51 90.00
Closest atoms and distances in Å follow each position.
Sites, in units of the cell vectors:
Dy 0.0000 0.0000 0.0000  6 O 2.22-2.28
Dy 0.0000 0.5000 0.5000  6 O 2.22-2.28
Dy 0.2795 0.0634 0.7527  5 O 2.25-2.50
Dy 0.2795 0.4366 0.2527  5 O 2.25-2.50
Dy 0.7205 0.5634 0.7473  5 O 2.25-2.50
Dy 0.7205 0.9366 0.2473  5 O 2.25-2.50
Mn 0.5000 0.0000 0.5000  6 O 1.97-2.10
Mn 0.5000 0.5000 0.0000  6 O 1.97-2.10
O 0.1261 0.0618 0.2650  1 Mn 2.10, 3 Dy 2.25-2.34
O 0.1261 0.4382 0.7650  1 Mn 2.10, 3 Dy 2.25-2.34
O 0.2812 0.6850 0.0697  1 Mn 1.97
O 0.2812 0.8150 0.5697  1 Mn 1.97
O 0.3951 0.2076 0.0736  1 Mn 2.02, 1 Dy 2.22
O 0.3951 0.2924 0.5736  1 Mn 2.02, 1 Dy 2.22
O 0.6049 0.7076 0.4264  1 Mn 2.02, 1 Dy 2.22
O 0.6049 0.7924 0.9264  1 Mn 2.02, 1 Dy 2.22
O 0.7188 0.1850 0.4303  1 Mn 1.97
O 0.7188 0.3150 0.9303  1 Mn 1.97
O 0.8739 0.5618 0.2350  1 Mn 2.10, 3 Dy 2.25-2.34
O 0.8739 0.9382 0.7350  1 Mn 2.10, 3 Dy 2.25-2.34

=====

4.
DFT (PBE+U) results for a relaxed structure of DyMnO3.

Total energy: -0.5886 Ry per atom
Calculated volume: 11.72 Å³/atom
Total magnetization: 16.00 Bohr magnetons per cell

Lattice parameters (Å, degrees): 5.8757 7.4867 5.3263 90.00 90.00 90.00
Closest atoms and distances in Å follow each position.
Sites, in units of the cell vectors:
Dy 0.0827 0.2500 0.0188  4 O 2.25-2.32
Dy 0.4173 0.7500 0.5188  4 O 2.25-2.32
Dy 0.5827 0.2500 0.4812  4 O 2.25-2.32
Dy 0.9173 0.7500 0.9812  4 O 2.25-2.32
Mn 0.0000 0.0000 0.5000  4 O 1.94-1.99
Mn 0.0000 0.5000 0.5000  4 O 1.94-1.99
Mn 0.5000 0.0000 0.0000  4 O 1.94-1.99
Mn 0.5000 0.5000 0.0000  4 O 1.94-1.99
O 0.0419 0.7500 0.3813  2 Mn 1.99
O 0.1741 0.5564 0.7995  1 Mn 1.94
O 0.1741 0.9436 0.7995  1 Mn 1.94
O 0.3259 0.0564 0.2995  1 Mn 1.94
O 0.3259 0.4436 0.2995  1 Mn 1.94
O 0.4581 0.2500 0.8813  2 Mn 1.99
O 0.5419 0.7500 0.1187  2 Mn 1.99
O 0.6741 0.5564 0.7005  1 Mn 1.94
O 0.6741 0.9436 0.7005  1 Mn 1.94
O 0.8259 0.0564 0.2005  1 Mn 1.94
O 0.8259 0.4436 0.2005  1 Mn 1.94
O 0.9581 0.2500 0.6187  2 Mn 1.99

=====

5.
DFT (PBE+U) results for a relaxed structure of DyPaMn2O8.

Total energy: -0.5917 Ry per atom
Calculated volume: 12.38 Å³/atom
Total magnetization: 6.00 Bohr magnetons per cell

Lattice parameters (Å, degrees): 6.6830 6.6830 6.6830 134.69 134.69 66.01
Closest atoms and distances in Å follow each position.
Sites, in units of the cell vectors:
Dy 0.0000 0.0000 0.0000  8 O 2.35-2.41
Pa 0.7500 0.2500 0.5000  4 O 2.16
Mn 0.2500 0.7500 0.5000  4 O 1.94
Mn 0.5000 0.5000 0.0000  4 O 1.74
O 0.0351 0.6495 0.0345  1 Mn 1.94, 1 Pa 2.16
O 0.1815 0.2548 0.5941  1 Mn 1.74
O 0.3505 0.3850 0.3856  1 Mn 1.94, 1 Pa 2.16
O 0.4126 0.8185 0.0733  1 Mn 1.74
O 0.6150 0.0006 0.9655  1 Mn 1.94, 1 Pa 2.16
O 0.6607 0.5874 0.4059  1 Mn 1.74
O 0.7452 0.3393 0.9267  1 Mn 1.74
O 0.9994 0.9649 0.6144  1 Mn 1.94, 1 Pa 2.16

=====

6.
DFT (PBE+U) results for a relaxed structure of DyPaMnO6.

Total energy: -0.6220 Ry per atom
Calculated volume: 13.16 Å³/atom
Total magnetization: 3.01 Bohr magnetons per cell

Lattice parameters (Å, degrees): 5.3413 5.3413 4.7945 90.00 90.00 120.00
Closest atoms and distances in Å follow each position.
Sites, in units of the cell vectors:
Dy 0.0000 0.0000 0.0000  6 O 2.24
Pa 0.6667 0.3333 0.5000  6 O 2.20
Mn 0.3333 0.6667 0.0000  6 O 1.97
O 0.0218 0.3743 0.2338  1 Mn 1.97
O 0.0218 0.6475 0.7662  1 Mn 1.97
O 0.3525 0.3743 0.7662  1 Mn 1.97
O 0.3525 0.9782 0.2338  1 Mn 1.97
O 0.6257 0.6475 0.2338  1 Mn 1.97
O 0.6257 0.9782 0.7662  1 Mn 1.97

=====

7.
DFT (PBE+U) results for a relaxed structure of DyMnPtO4.

Total energy: -0.5299 Ry per atom
Calculated volume: 13.97 Å³/atom
Total magnetization: 8.06 Bohr magnetons per cell

Lattice parameters (Å, degrees): 6.5214 6.5214 6.5214 125.04 113.74 91.33
Closest atoms and distances in Å follow each position.
Sites, in units of the cell vectors:
Dy 0.0000 0.0000 0.0000  6 O 2.28-2.39
Dy 0.5000 0.0000 0.5000  6 O 2.28-2.39
Mn 0.4710 0.7210 0.7500  6 O 2.03-2.23
Mn 0.5290 0.2790 0.2500  6 O 2.03-2.23
Pt 0.0000 0.0000 0.5000  4 O 2.03
Pt 0.0000 0.5000 0.0000  4 O 2.03
O 0.1869 0.2462 0.9406  2 Pt 2.03, 1 Mn 2.23
O 0.1944 0.7538 0.4406  2 Pt 2.03, 1 Mn 2.23
O 0.3524 0.3176 0.4652  2 Mn 2.03-2.07
O 0.3524 0.8872 0.0348  2 Mn 2.03-2.07
O 0.6476 0.1128 0.9652  2 Mn 2.03-2.07
O 0.6476 0.6824 0.5348  2 Mn 2.03-2.07
O 0.8056 0.2462 0.5594  2 Pt 2.03, 1 Mn 2.23
O 0.8131 0.7538 0.0594  2 Pt 2.03, 1 Mn 2.23

=====

8.
DFT (PBE+U) results for a relaxed structure of Dy2PuMnO8.

Total energy: -0.6281 Ry per atom
Calculated volume: 14.22 Å³/atom
Total magnetization: 4.98 Bohr magnetons per cell

Lattice parameters (Å, degrees): 4.9768 4.9780 6.9341 86.19 86.29 85.66
Closest atoms and distances in Å follow each position.
Sites, in units of the cell vectors:
Dy 0.0345 0.0340 0.2336  6 O 2.20-2.42
Dy 0.9655 0.9660 0.7664  6 O 2.20-2.42
Pu 0.5000 0.5000 0.5000  4 O 1.90-1.98
Mn 0.5000 0.5000 0.0000  4 O 1.94-1.97
O 0.2046 0.7907 0.5004  1 Pu 1.98
O 0.2132 0.7853 0.0002  1 Mn 1.94
O 0.2976 0.2928 0.6904  1 Pu 1.90
O 0.3418 0.3397 0.2442  1 Mn 1.97
O 0.6582 0.6603 0.7558  1 Mn 1.97
O 0.7024 0.7072 0.3096  1 Pu 1.90
O 0.7868 0.2147 0.9998  1 Mn 1.94
O 0.7954 0.2093 0.4996  1 Pu 1.98

=====

9.
DFT (PBE+U) results for a relaxed structure of DyPuMn2O8.

Total energy: -0.6045 Ry per atom
Calculated volume: 13.53 Å³/atom
Total magnetization: 9.00 Bohr magnetons per cell

Lattice parameters (Å, degrees): 5.9553 5.9553 5.9553 108.29 108.29 111.85
Closest atoms and distances in Å follow each position.
Sites, in units of the cell vectors:
Dy 0.0000 0.0000 0.0000  8 O 2.27-2.42
Pu 0.2500 0.7500 0.5000  4 O 2.07
Mn 0.5000 0.5000 0.0000  4 O 2.00
Mn 0.7500 0.2500 0.5000  4 O 1.71
O 0.2920 0.0855 0.7935  1 Mn 2.00, 1 Pu 2.07
O 0.2920 0.4985 0.2065  1 Mn 2.00, 1 Pu 2.07
O 0.3963 0.0792 0.3171  1 Mn 1.71
O 0.5015 0.7080 0.7935  1 Mn 2.00, 1 Pu 2.07
O 0.7621 0.0792 0.6829  1 Mn 1.71
O 0.9145 0.7080 0.2065  1 Mn 2.00, 1 Pu 2.07
O 0.9208 0.2379 0.3171  1 Mn 1.71
O 0.9208 0.6037 0.6829  1 Mn 1.71

=====

10.
DFT (PBE+U) results for a relaxed structure of Rb3Dy2MnO6.

Total energy: -0.4667 Ry per atom
Calculated volume: 16.62 Å³/atom
Total magnetization: 4.00 Bohr magnetons per cell

Lattice parameters (Å, degrees): 5.8710 5.8710 6.8868 99.66 99.66 117.41
Closest atoms and distances in Å follow each position.
Sites, in units of the cell vectors:
Rb 0.0000 0.0000 0.0000  6 O 2.77-2.87
Rb 0.3339 0.6661 0.0000  6 O 2.80-3.06
Rb 0.6661 0.3339 0.0000  6 O 2.80-3.06
Dy 0.1636 0.8364 0.5000  6 O 2.25-2.37
Dy 0.8364 0.1636 0.5000  6 O 2.25-2.37
Mn 0.5000 0.5000 0.5000  4 O 2.05
O 0.1412 0.4407 0.3408  1 Mn 2.05
O 0.2108 0.2108 0.6984  2 Dy 2.25
O 0.4407 0.1412 0.3408  1 Mn 2.05
O 0.5593 0.8588 0.6592  1 Mn 2.05
O 0.7892 0.7892 0.3016  2 Dy 2.25
O 0.8588 0.5593 0.6592  1 Mn 2.05